No. 1
Computed, not measured: KRuSe2 at its PBEsol-relaxed geometry at the meta-GGA SCAN level of DFT.

- ΔE_f (raw) (meV/atom) = -320
- SG = No. 71
- total DFT energy (no corrections) (eV per atom) = -21.148

Cell lengths 5.761, 5.761, 5.761 Å; angles 145.07, 114.58, 76.36 degrees
Element x y z (fractional)
K: 0.000 0.000 0.000
Ru: 0.500 0.500 0.000
Se: 0.316 0.816 0.500
Se: 0.684 0.184 0.500

No. 2
Computed, not measured: YMn2Cd at its PBEsol-relaxed geometry at the meta-GGA SCAN level of DFT.

- ΔE_f (eV/atom) = 0.22
- SG = No. 166
- E above lowest polymorph (meV per atom) = 186.8
- total DFT energy (no corrections) (eV per atom) = -23.476

Cell lengths 9.394, 9.394, 9.394 Å; angles 18.95, 18.95, 18.95 degrees
Element x y z (fractional)
Y: 0.000 0.000 0.000
Mn: 0.247 0.247 0.247
Mn: 0.753 0.753 0.753
Cd: 0.500 0.500 0.500

No. 3
Computed, not measured: TbFe2SiC at its PBEsol-relaxed geometry at the meta-GGA SCAN level of DFT.

- ΔE_f (raw) (meV/atom) = -454
- SG = No. 63
- total DFT energy (no corrections) (eV per atom) = -21.081

Cell lengths 5.481, 5.481, 6.634 Å; angles 90.00, 90.00, 140.17 degrees
Element x y z (fractional)
Tb: 0.052 0.948 0.750
Tb: 0.948 0.052 0.250
Fe: 0.335 0.665 0.564
Fe: 0.335 0.665 0.936
Fe: 0.665 0.335 0.064
Fe: 0.665 0.335 0.436
Si: 0.229 0.771 0.250
Si: 0.771 0.229 0.750
C: 0.500 0.500 0.000
C: 0.500 0.500 0.500

- The lowest total DFT energy (no corrections) belongs to which entry?
  YMn2Cd